[1]
Compound: Y4TeP
Source: the Alexandria database
Functional: PBE
Structure: optimized geometry

a b c (Å): 8.7507 8.7507 8.7507
angles (deg): 90.00 90.00 90.00
Last column: nearest neighbours and their distance in Å.
Space group F-43m (No. 216)
One atom of each set of equivalent atoms:
Y (0.1247, 0.1247, 0.1247) x16  6 Y 3.09-3.10
Te (0.0000, 0.0000, 0.5000) x4  12 Y 3.63, 4 P 3.79
P (0.2500, 0.2500, 0.7500) x4  12 Y 3.63, 4 Te 3.79

Fermi-level density of states in states/eV/atom: 0.89
Formation energy (no corrections) in meV per atom: 130
Total DFT energy (no corrections) in eV per cell: -134.51

---

[2]
Compound: Y7Te4P4
Source: the Alexandria database
Functional: PBE
Structure: optimized geometry

a b c (Å): 14.6885 14.6885 7.3735
angles (deg): 90.00 90.00 90.00
Last column: nearest neighbours and their distance in Å.
Space group I4/mmm (No. 139)
One atom of each set of equivalent atoms:
Y (0.0000, 0.0000, 0.2435) x4  8 Te 3.11-3.19
Y (0.0000, 0.2913, 0.0000) x8  4 P 2.96, 2 Te 3.05
Y (0.0000, 0.3655, 0.5000) x8  4 P 2.81, 1 Te 2.90
Y (0.2171, 0.2171, 0.5000) x8  4 P 2.96, 3 Te 3.24-3.27
Te (0.0000, 0.1681, 0.5000) x8  3 Y 2.90-3.11
Te (0.1270, 0.1270, 0.0000) x8  5 Y 3.05-3.24
P (0.1437, 0.3563, 0.2500) x16  6 Y 2.81-2.96

Fermi-level density of states in states/eV/atom: 0.22
Formation energy (no corrections) in meV per atom: -1311
Total DFT energy (no corrections) in eV per cell: -396.50

---

[3]
Compound: YTe2P
Source: the Alexandria database
Functional: PBE
Structure: optimized geometry

a b c (Å): 7.3918 7.3918 7.3918
angles (deg): 90.00 90.00 90.00
Last column: nearest neighbours and their distance in Å.
Space group F-43m (No. 216)
One atom of each set of equivalent atoms:
Y (0.0000, 0.0000, 0.0000) x4  4 P 3.20, 4 Te 3.20
Te (0.0000, 0.0000, 0.5000) x4  4 Te 3.20, 4 P 3.20
Te (0.2500, 0.2500, 0.2500) x4  4 Y 3.20, 4 Te 3.20
P (0.2500, 0.2500, 0.7500) x4  4 Te 3.20, 4 Y 3.20

Fermi-level density of states in states/eV/atom: 1.55
Formation energy (no corrections) in meV per atom: -128
Total DFT energy (no corrections) in eV per cell: -74.67

---

Q: Which of these has the lowest formation energy (no corrections)?
A: Y7Te4P4

---

Q: Which of these has the highest formation energy (no corrections)?
A: Y4TeP

---

Q: formation energy (no corrections) of number 2 (Y7Te4P4)?
A: -1311 meV per atom